Here is Sr2Mn3B2O10 after structural relaxation from Alexandria via LeMat-Bulk. Energies are from PBE+U.

crystal system = monoclinic
V = 12.15 Å³/atom
electronic total energy = -7.2274 eV/atom

abc: 5.7901 3.3724 10.5884
angles: 90.00 92.75 90.00
Closest atoms and distances in Å follow each position.
Space group Pm (No. 6)
Inequivalent atoms, fractional coordinates:
Sr  0.0000  0.0000  0.0000 x1  6 O 2.40-2.59
Sr  0.1527  0.5000  0.6809 x1  6 O 2.38-2.50
Mn  0.3130  0.0000  0.3810 x1  2 O 1.86-1.98
Mn  0.5849  0.5000  0.1788 x1  4 O 1.94-2.00
Mn  0.6554  0.0000  0.6673 x1  2 O 1.81-2.00
B  0.4866  0.5000  0.9031 x1  3 O 1.35-1.40
B  0.8166  0.5000  0.4317 x1  3 O 1.37-1.46
O  0.0364  0.5000  0.3836 x1  1 B 1.39
O  0.2604  0.5000  0.9300 x1  1 B 1.35
O  0.3492  0.0000  0.1963 x1  3 Mn 1.98-2.18
O  0.3659  0.0000  0.5562 x1  2 Mn 1.86-2.00
O  0.5442  0.5000  0.7757 x1  1 B 1.40
O  0.5933  0.5000  0.3620 x1  1 B 1.46
O  0.6595  0.5000  0.9986 x1  1 B 1.39
O  0.7708  0.0000  0.1908 x1  2 Mn 2.00
O  0.7854  0.5000  0.5596 x1  1 B 1.37
O  0.9178  0.0000  0.7680 x1  1 Mn 1.81